A geometry-optimized Gd2BeIn structure. Source: Alexandria via LeMat-Bulk, functional PBE.

Output
Size of the total moment ... 14.809 μB per formula unit
Crystal system ... cubic
Final energy ... -8.779 eV/atom
Offset from the most stable computed form ... 6.24 kJ/mol of atoms
Formation enthalpy at 0 K ... -0.49 eV per formula unit

Cell lengths 5.174, 5.174, 5.174 Å; angles 60.00, 60.00, 60.00 degrees
Fractional coordinates of all 4 atoms:
Gd: 0.250 0.250 0.250
Gd: 0.750 0.750 0.750
Be: 0.000 0.000 0.000
In: 0.500 0.500 0.500



A geometry-optimized LiGdBeIn structure. Source: Alexandria via LeMat-Bulk, functional PBE.

Output
Size of the total moment ... 7.058 μB per formula unit
Crystal system ... cubic
Final energy ... -5.762 eV/atom
Formation enthalpy at 0 K ... -0.59 eV per formula unit

Cell lengths 4.695, 4.695, 4.695 Å; angles 60.00, 60.00, 60.00 degrees
Fractional coordinates of all 4 atoms:
Li: 0.000 0.000 0.000
Gd: 0.250 0.250 0.250
Be: 0.500 0.500 0.500
In: 0.750 0.750 0.750



A geometry-optimized GdYBeIn structure. Source: Alexandria via LeMat-Bulk, functional PBE.

Output
Size of the total moment ... 7.560 μB per formula unit
Crystal system ... cubic
Final energy ... -6.883 eV/atom
Formation enthalpy at 0 K ... -0.52 eV per formula unit

Cell lengths 5.150, 5.150, 5.150 Å; angles 60.00, 60.00, 60.00 degrees
Fractional coordinates of all 4 atoms:
Gd: 0.000 0.000 0.000
Y: 0.500 0.500 0.500
Be: 0.750 0.750 0.750
In: 0.250 0.250 0.250



A geometry-optimized Gd2BeIr structure. Source: Alexandria via LeMat-Bulk, functional PBE.

Output
Size of the total moment ... 14.297 μB per formula unit
Crystal system ... tetragonal
Final energy ... -10.520 eV/atom
Offset from the most stable computed form ... 1.07 kJ/mol of atoms
Formation enthalpy at 0 K ... -1.33 eV per formula unit

Cell lengths 4.818, 4.818, 3.551 Å; angles 90.00, 90.00, 90.00 degrees
Fractional coordinates of all 4 atoms:
Gd: 0.000 0.500 0.000
Gd: 0.500 0.000 0.000
Be: 0.000 0.000 0.500
Ir: 0.500 0.500 0.500



A geometry-optimized Gd2BeIr structure. Source: Alexandria via LeMat-Bulk, functional PBE.

Output
Size of the total moment ... 14.027 μB per formula unit
Crystal system ... cubic
Final energy ... -10.531 eV/atom
Offset from the most stable computed form ... 0.00 kJ/mol of atoms
Formation enthalpy at 0 K ... -1.38 eV per formula unit

Cell lengths 4.895, 4.895, 4.895 Å; angles 60.00, 60.00, 60.00 degrees
Fractional coordinates of all 4 atoms:
Gd: 0.250 0.250 0.250
Gd: 0.750 0.750 0.750
Be: 0.000 0.000 0.000
Ir: 0.500 0.500 0.500



A geometry-optimized GdLuBeIr structure. Source: Alexandria via LeMat-Bulk, functional PBE.

Output
Size of the total moment ... 7.018 μB per formula unit
Crystal system ... cubic
Final energy ... -8.215 eV/atom
Formation enthalpy at 0 K ... -1.67 eV per formula unit

Cell lengths 4.816, 4.816, 4.816 Å; angles 60.00, 60.00, 60.00 degrees
Fractional coordinates of all 4 atoms:
Gd: 0.000 0.000 0.000
Lu: 0.500 0.500 0.500
Be: 0.750 0.750 0.750
Ir: 0.250 0.250 0.250



A geometry-optimized PmGdBeIr structure. Source: Alexandria via LeMat-Bulk, functional PBE.

Output
Size of the total moment ... 7.009 μB per formula unit
Crystal system ... cubic
Final energy ... -8.145 eV/atom
Formation enthalpy at 0 K ... -1.16 eV per formula unit

Cell lengths 4.942, 4.942, 4.942 Å; angles 60.00, 60.00, 60.00 degrees
Fractional coordinates of all 4 atoms:
Pm: 0.000 0.000 0.000
Gd: 0.500 0.500 0.500
Be: 0.750 0.750 0.750
Ir: 0.250 0.250 0.250



A geometry-optimized LaGd2Be structure. Source: Alexandria via LeMat-Bulk, functional PBE.

Output
Size of the total moment ... 14.635 μB per formula unit
Crystal system ... tetragonal
Final energy ... -9.128 eV/atom
Offset from the most stable computed form ... 0.00 kJ/mol of atoms
Formation enthalpy at 0 K ... 0.31 eV per formula unit

Cell lengths 3.511, 3.511, 8.906 Å; angles 90.00, 90.00, 90.00 degrees
Fractional coordinates of all 4 atoms:
La: 0.000 0.000 0.000
Gd: 0.500 0.500 0.317
Gd: 0.500 0.500 0.683
Be: 0.000 0.000 0.500



- The lowest final energy belongs to which entry?
  number 5